LaSm2Cd2In2: optimized geometry, PBE.

Lattice parameters (Å, degrees): 9.6696 9.6696 9.6696 30.03 30.03 30.03
With the nearest neighbours (Å) after each atom.
Positions (direct):
La 0.0000 0.0000 0.0000  6 In 3.51, 6 Cd 3.60, 2 Sm 3.61
Sm 0.1304 0.1304 0.1304  3 Cd 3.25, 4 In 3.31-3.63, 3 Sm 3.52, 1 La 3.61
Sm 0.8696 0.8696 0.8696  3 Cd 3.25, 4 In 3.31-3.63, 3 Sm 3.52, 1 La 3.61
Cd 0.4105 0.4105 0.4105  3 In 2.90
Cd 0.5895 0.5895 0.5895  3 In 2.90
In 0.2613 0.2613 0.2613  3 Cd 2.90
In 0.7387 0.7387 0.7387  3 Cd 2.90

Calculated values
Crystal system ... trigonal
E_form ... -0.31 eV/atom
Electronic total energy ... -23.82 eV per cell
Space-group type ... R-3m (166)